Record 1
The following is a PBE-GGA calculation of a geometry-optimized Cs2TlHg2F7 structure, from Alexandria.

Calculated values
E_tot (Ha/atom): -0.1258
Total magnetization (μB per cell): 0.00
Formation energy (no corrections) (eV/atom): -1.94

Cell and atoms, written as CIF:
```
data_Cs2TlHg2F7
_symmetry_space_group_name_H-M 'I 4/m m m'
_symmetry_Int_Tables_number 139
_symmetry_space_group_name_Hall '-I 4 2'
_cell_length_a 4.683
_cell_length_b 4.683
_cell_length_c 23.767
_cell_angle_alpha 90.00
_cell_angle_beta 90.00
_cell_angle_gamma 90.00
loop_
_atom_site_label
_atom_site_type_symbol
_atom_site_fract_x
_atom_site_fract_y
_atom_site_fract_z
Cs1 Cs 0.000 0.000 0.182
Tl1 Tl 0.000 0.000 0.000
Hg1 Hg 0.000 0.000 0.404
F1 F 0.000 0.000 0.307
F2 F 0.000 0.000 0.500
F3 F 0.000 0.500 0.092
```

***

Record 2
The following is a PBE-GGA calculation of a geometry-optimized ReTc structure, from Alexandria.

Calculated values
E_tot (Ha/atom): -0.3622
Total magnetization (μB per cell): 0.00
Excess energy over the best structure of this formula in the dataset (kJ per mole of atoms): 150.22

Cell and atoms, written as CIF:
```
data_ReTc
_symmetry_space_group_name_H-M 'F -4 3 m'
_symmetry_Int_Tables_number 216
_symmetry_space_group_name_Hall 'F -4 2 3'
_cell_length_a 5.609
_cell_length_b 5.609
_cell_length_c 5.609
_cell_angle_alpha 90.00
_cell_angle_beta 90.00
_cell_angle_gamma 90.00
loop_
_atom_site_label
_atom_site_type_symbol
_atom_site_fract_x
_atom_site_fract_y
_atom_site_fract_z
Re1 Re 0.000 0.000 0.000
Tc1 Tc 0.250 0.250 0.250
```

***

Repeat the second record exactly.
The following is a PBE-GGA calculation of a geometry-optimized ReTc structure, from Alexandria.

Calculated values
E_tot (Ha/atom): -0.3622
Total magnetization (μB per cell): 0.00
Excess energy over the best structure of this formula in the dataset (kJ per mole of atoms): 150.22

Cell and atoms, written as CIF:
```
data_ReTc
_symmetry_space_group_name_H-M 'F -4 3 m'
_symmetry_Int_Tables_number 216
_symmetry_space_group_name_Hall 'F -4 2 3'
_cell_length_a 5.609
_cell_length_b 5.609
_cell_length_c 5.609
_cell_angle_alpha 90.00
_cell_angle_beta 90.00
_cell_angle_gamma 90.00
loop_
_atom_site_label
_atom_site_type_symbol
_atom_site_fract_x
_atom_site_fract_y
_atom_site_fract_z
Re1 Re 0.000 0.000 0.000
Tc1 Tc 0.250 0.250 0.250
```